## LaReO4F (PBE-GGA)

Data for crystalline LaReO4F at its relaxed geometry.

Results
As for the density of states at the Fermi level: 11.79 states/eV/cell. The density comes out at 5.1 g/cm³. Its uncorrected formation energy is -57.63 kcal/mol of atoms. The calculation puts the total DFT energy (no corrections) at -8.082 eV per atom.

Unit cell a=10.1624 b=7.4858 c=7.2470 alpha=90.00 beta=106.13 gamma=90.00
Closest atoms and distances in Å follow each position.
Space group C2/m (No. 12)
Inequivalent atoms, fractional coordinates:
La 0.2010 0.0000 0.0955  2 F 2.34-2.37, 6 O 2.47-2.60
Re 0.1451 0.5000 0.2905  4 O 1.76-1.85
O 0.0344 0.5000 0.7615  1 Re 1.76
O 0.2044 0.3260 0.1500  1 Re 1.85
O 0.2398 0.5000 0.5334  1 Re 1.76
F 0.0102 0.0000 0.8256  2 La 2.34-2.37, 1 F 2.59